Entry 1:
Entry from the Alexandria database: a relaxed structure of SrIn3 (PBE-GGA).

The space group is R-3m (No. 166, hexagonal axes) and the conventional cell measures 10.9174, 10.9174 and 3.5040 Å, with angles of 90.00, 90.00 and 120.00 degrees. Symmetry generates all atoms from Sr at (0.0000, 0.0000, 0.0000) and In at (0.0000, 0.5000, 0.0000).

Its magnetization is 0.00 μB per atom. For the total energy, the calculation gives -31.61 eV/cell. As for the crystal system: trigonal. As for the calculated volume: 361.7 Å³/cell.

Entry 2:
Entry from the Alexandria database: a relaxed structure of Li2CaScBi (PBE-GGA).

The space group is P4/mmm (No. 123) and the conventional cell measures 5.065, 5.065 and 5.747 Å, with angles of 90.00, 90.00 and 90.00 degrees. Symmetry generates all atoms from Li at (0.000, 0.500, 0.000), Ca at (0.000, 0.000, 0.000), Sc at (0.500, 0.500, 0.500) and Bi at (0.000, 0.000, 0.500).

Its magnetization is 0.34 μB per atom. For the total energy, the calculation gives -13.34 eV/cell. As for the crystal system: tetragonal. As for the calculated volume: 147.4 Å³/cell.

Entry 3:
Entry from the Alexandria database: a relaxed structure of ScAl2Os (PBE-GGA).

The space group is P4mm (No. 99) and the conventional cell measures 3.227, 3.227 and 6.313 Å, with angles of 90.00, 90.00 and 90.00 degrees. Symmetry generates all atoms from Sc at (0.000, 0.000, 0.000), Al at (0.000, 0.000, 0.544), Al at (0.500, 0.500, 0.303) and Os at (0.500, 0.500, 0.739).

Its magnetization is 0.00 μB per atom. For the total energy, the calculation gives -26.74 eV/cell. As for the crystal system: tetragonal. As for the calculated volume: 65.7 Å³/cell.

Entry 4:
Entry from the Alexandria database: a relaxed structure of Be4TlMo (PBE-GGA).

The space group is F-43m (No. 216) and the conventional cell measures 6.566, 6.566 and 6.566 Å, with angles of 90.00, 90.00 and 90.00 degrees. Symmetry generates all atoms from Be at (0.119, 0.119, 0.381), Tl at (0.000, 0.000, 0.000) and Mo at (0.250, 0.250, 0.750).

Its magnetization is 0.00 μB per atom. For the total energy, the calculation gives -103.40 eV/cell. As for the crystal system: cubic. As for the calculated volume: 283.1 Å³/cell.